Below is a geometry-optimized BaSr4Cl structure, with properties calculated at the PBE-GGA level.

a = 11.283 Å, b = 11.283 Å, c = 11.283 Å
α = 90.00°, β = 90.00°, γ = 90.00°
Space group F-43m (No. 216)
Symmetry-distinct sites (fractional):
Ba 0.000 0.000 0.000
Sr 0.126 0.126 0.374
Cl 0.250 0.250 0.750

energy relative to the elements, uncorrected = -42 meV/atom
electronic total energy = -0.0658 hartree per atom